PrTmI2O2: relaxed, PBE.

a b c (Å): 3.9849 3.9849 9.2406
angles (deg): 90.00 90.00 90.00
With the nearest neighbours (Å) after each atom.
Space group P4mm (No. 99)
Asymmetric unit:
Pr (0.0000, 0.0000, 0.0000) x1  4 O 2.35
Tm (0.5000, 0.5000, 0.7555) x1  4 O 2.23
I (0.0000, 0.0000, 0.5486) x1  4 Tm 3.41, 4 O 3.54
I (0.5000, 0.5000, 0.2069) x1  4 Pr 3.41, 4 O 3.74
O (0.0000, 0.5000, 0.8649) x2  2 Tm 2.23, 2 Pr 2.35


ReI2O2: relaxed, PBE.

a b c (Å): 16.9959 3.7834 7.5644
angles (deg): 90.00 102.81 90.00
With the nearest neighbours (Å) after each atom.
Space group Cc (No. 9)
Asymmetric unit:
Re (0.0000, 0.0023, 0.0000) x4  4 O 1.89
I (0.1639, 0.0030, 0.0788) x4  1 Re 2.72
I (0.3361, 0.4971, 0.4157) x4  1 Re 2.72
O (0.0000, 0.9996, 0.2499) x4  2 Re 1.89
O (0.0000, 0.4981, 0.5013) x4  2 Re 1.89


Sm2I2O: relaxed, PBE.

a b c (Å): 7.4808 12.3611 5.8721
angles (deg): 90.00 90.00 90.00
With the nearest neighbours (Å) after each atom.
Space group Ibam (No. 72)
Asymmetric unit:
Sm (0.1716, 0.1016, 0.0000) x8  2 O 2.32
I (0.1349, 0.3605, 0.0000) x8  5 Sm 3.21-3.50, 2 O 3.55, 2 I 3.56
O (0.0000, 0.0000, 0.2500) x4  4 Sm 2.32


Computed calculated total energy (eV per atom) in order:
-6.3784 -5.9169 -5.2389